Arrangement P

Material: TbPm6Er2
Method: DFT, GGA-PBE
State: relaxed

Lattice parameters (Å, degrees): 6.2179 10.0845 10.0845 71.42 85.11 85.11
Closest atoms and distances in Å follow each position.
Fractional coordinates of all 18 atoms:
Er 0.0846 0.2348 0.4328  8 Pm 3.43-3.52
Er 0.4154 0.5672 0.7652  8 Pm 3.43-3.52
Er 0.9154 0.7652 0.5672  8 Pm 3.43-3.52
Er 0.5846 0.4328 0.2348  8 Pm 3.43-3.52
Pm 0.3466 0.9260 0.6438  4 Pm 3.33-3.66, 3 Er 3.43-3.52, 1 Tb 3.55
Pm 0.6806 0.2614 0.9795  4 Pm 3.34-3.66, 2 Tb 3.44-3.52, 2 Er 3.52
Pm 0.8466 0.6438 0.9260  4 Pm 3.33-3.66, 3 Er 3.43-3.52, 1 Tb 3.55
Pm 0.6534 0.0740 0.3562  4 Pm 3.33-3.66, 3 Er 3.43-3.52, 1 Tb 3.55
Pm 0.4861 0.6880 0.4068  4 Pm 3.34-3.65, 3 Er 3.43-3.52, 1 Tb 3.53
Pm 0.3194 0.7386 0.0205  4 Pm 3.34-3.66, 2 Tb 3.44-3.52, 2 Er 3.52
Pm 0.5139 0.3120 0.5932  4 Pm 3.34-3.65, 3 Er 3.43-3.52, 1 Tb 3.53
Pm 0.1806 0.9795 0.2614  4 Pm 3.34-3.66, 2 Tb 3.44-3.52, 2 Er 3.52
Pm 0.1534 0.3562 0.0740  4 Pm 3.33-3.66, 3 Er 3.43-3.52, 1 Tb 3.55
Pm 0.0139 0.5932 0.3120  4 Pm 3.34-3.65, 3 Er 3.43-3.52, 1 Tb 3.53
Pm 0.8194 0.0205 0.7386  4 Pm 3.34-3.66, 2 Tb 3.44-3.52, 2 Er 3.52
Pm 0.9861 0.4068 0.6880  4 Pm 3.34-3.65, 3 Er 3.43-3.52, 1 Tb 3.53
Tb 0.7500 0.9013 0.0987  8 Pm 3.44-3.55
Tb 0.2500 0.0987 0.9013  8 Pm 3.44-3.55

As for the crystal system: monoclinic. The calculation puts the size of the total moment at 0.0 Bohr magnetons per cell.


Arrangement Q

Material: TbPm6Er2
Method: DFT, GGA-PBE
State: relaxed

Lattice parameters (Å, degrees): 3.6121 8.8398 12.9856 132.74 81.97 90.10
Closest atoms and distances in Å follow each position.
Fractional coordinates of all 9 atoms:
Pm 0.7788 0.1077 0.4416  2 Er 3.60, 10 Pm 3.60-3.66
Pm 0.6658 0.6686 0.6695  2 Tb 3.58-3.59, 1 Er 3.60, 9 Pm 3.61-3.65
Pm 0.2212 0.8923 0.5584  2 Er 3.60, 10 Pm 3.60-3.66
Pm 0.1091 0.4467 0.7818  4 Er 3.56-3.60, 7 Pm 3.60-3.66, 1 Tb 3.60
Pm 0.8909 0.5533 0.2182  4 Er 3.56-3.60, 7 Pm 3.60-3.66, 1 Tb 3.60
Pm 0.3342 0.3314 0.3305  2 Tb 3.58-3.59, 1 Er 3.60, 9 Pm 3.61-3.65
Tb 0.0000 0.0000 0.0000  6 Pm 3.58-3.60, 4 Er 3.59, 2 Tb 3.61
Er 0.4447 0.7776 0.1096  7 Pm 3.56-3.60, 2 Tb 3.59, 3 Er 3.61-3.62
Er 0.5553 0.2224 0.8904  7 Pm 3.56-3.60, 2 Tb 3.59, 3 Er 3.61-3.62

As for the crystal system: triclinic. The calculation puts the size of the total moment at 0.0 Bohr magnetons per cell.


Which structure wins on stability? arrangement Q wins.


Arrangement P

Material: TbPm7Er3
Method: DFT, GGA-PBE
State: relaxed

Lattice parameters (Å, degrees): 5.8686 8.5264 8.5264 83.19 110.19 110.19
Closest atoms and distances in Å follow each position.
Fractional coordinates of all 11 atoms:
Er 0.0000 0.7961 0.2039  9 Pm 3.30-3.66
Er 0.0000 0.2039 0.7961  9 Pm 3.30-3.66
Er 0.5000 0.0000 0.0000  4 Pm 3.23
Pm 0.6936 0.4028 0.9839  2 Er 3.23-3.61, 3 Pm 3.33-3.47
Pm 0.6936 0.9839 0.4028  2 Er 3.23-3.61, 3 Pm 3.33-3.47
Pm 0.0000 0.5000 0.5000  2 Tb 2.93
Pm 0.3064 0.0161 0.5972  2 Er 3.23-3.61, 3 Pm 3.33-3.47
Pm 0.7896 0.7913 0.7913  1 Tb 3.30, 2 Er 3.30, 2 Pm 3.47
Pm 0.2104 0.2087 0.2087  1 Tb 3.30, 2 Er 3.30, 2 Pm 3.47
Pm 0.3064 0.5972 0.0161  2 Er 3.23-3.61, 3 Pm 3.33-3.47
Tb 0.5000 0.5000 0.5000  2 Pm 2.93

As for the crystal system: monoclinic. The calculation puts the size of the total moment at 0.0 Bohr magnetons per cell.


Arrangement Q

Material: TbPm7Er3
Method: DFT, GGA-PBE
State: relaxed

Lattice parameters (Å, degrees): 10.2063 10.2089 12.4999 65.82 114.18 138.77
Closest atoms and distances in Å follow each position.
Fractional coordinates of all 22 atoms:
Er 0.3283 0.6672 0.7245  10 Pm 3.49-3.65, 1 Tb 3.55
Er 0.6672 0.3284 0.7755  10 Pm 3.49-3.65, 1 Tb 3.55
Er 0.0000 0.0000 0.0000  8 Pm 3.45-3.69, 2 Tb 3.59
Er 0.6717 0.3328 0.2755  10 Pm 3.49-3.65, 1 Tb 3.55
Er 0.0000 0.0000 0.5000  8 Pm 3.46-3.69, 2 Tb 3.59
Er 0.3328 0.6716 0.2245  10 Pm 3.49-3.65, 1 Tb 3.55
Tb 0.5000 0.5000 0.0000  6 Pm 3.52-3.55, 4 Er 3.55-3.59
Tb 0.5000 0.5000 0.5000  6 Pm 3.52-3.55, 4 Er 3.55-3.59
Pm 0.1655 0.8456 0.2744  4 Er 3.45-3.62, 7 Pm 3.56-3.65
Pm 0.2740 0.2740 0.7500  4 Er 3.50-3.69, 2 Tb 3.52, 4 Pm 3.56-3.57
Pm 0.0846 0.4201 0.9716  6 Pm 3.51-3.65, 4 Er 3.52-3.65, 1 Tb 3.54
Pm 0.1545 0.8345 0.7744  4 Er 3.46-3.62, 7 Pm 3.56-3.65
Pm 0.5803 0.9168 0.9704  4 Er 3.49-3.65, 7 Pm 3.51-3.63, 1 Tb 3.55
Pm 0.8345 0.1544 0.7256  4 Er 3.45-3.62, 7 Pm 3.56-3.65
Pm 0.4203 0.0848 0.5284  6 Pm 3.51-3.65, 4 Er 3.52-3.65, 1 Tb 3.55
Pm 0.5797 0.9152 0.4716  6 Pm 3.51-3.65, 4 Er 3.52-3.65, 1 Tb 3.55
Pm 0.7260 0.7260 0.2500  4 Er 3.50-3.69, 2 Tb 3.52, 4 Pm 3.56-3.57
Pm 0.4197 0.0832 0.0296  4 Er 3.49-3.65, 7 Pm 3.51-3.63, 1 Tb 3.55
Pm 0.9169 0.5806 0.5296  4 Er 3.49-3.65, 7 Pm 3.51-3.63, 1 Tb 3.55
Pm 0.0831 0.4194 0.4704  4 Er 3.49-3.65, 7 Pm 3.51-3.63, 1 Tb 3.55
Pm 0.8455 0.1655 0.2256  4 Er 3.46-3.62, 7 Pm 3.56-3.65
Pm 0.9154 0.5799 0.0284  6 Pm 3.51-3.65, 4 Er 3.52-3.65, 1 Tb 3.54

As for the crystal system: monoclinic. The calculation puts the size of the total moment at 0.0 Bohr magnetons per cell.


Which structure wins on stability? arrangement Q wins.


Arrangement P

Material: Tb4Pm5Er
Method: DFT, GGA-PBE
State: relaxed

Lattice parameters (Å, degrees): 3.5659 11.5144 8.7387 71.45 101.77 90.02
Closest atoms and distances in Å follow each position.
Fractional coordinates of all 10 atoms:
Tb 0.3955 0.7971 0.7903  6 Pm 3.31-3.64, 1 Er 3.38, 4 Tb 3.53-3.57
Tb 0.0836 0.7100 0.1670  6 Pm 3.47-3.79, 4 Tb 3.53-3.57, 2 Er 3.64
Tb 0.6045 0.2029 0.2097  6 Pm 3.31-3.64, 1 Er 3.38, 4 Tb 3.53-3.57
Tb 0.9164 0.2900 0.8330  6 Pm 3.47-3.79, 4 Tb 3.53-3.57, 2 Er 3.64
Pm 0.2101 0.3849 0.4200  8 Pm 3.57-3.84, 5 Tb 3.64-3.79
Pm 0.1882 0.9227 0.3767  4 Tb 3.36-3.56, 2 Er 3.53, 4 Pm 3.57-3.64
Pm 0.8118 0.0773 0.6233  4 Tb 3.36-3.56, 2 Er 3.53, 4 Pm 3.57-3.64
Pm 0.5000 0.5000 0.0000  6 Tb 3.31-3.65, 2 Pm 3.57
Pm 0.7899 0.6151 0.5800  8 Pm 3.57-3.84, 5 Tb 3.64-3.79
Er 0.5000 0.0000 0.0000  6 Tb 3.38-3.64, 4 Pm 3.53, 2 Er 3.57

As for the crystal system: monoclinic. The calculation puts the size of the total moment at 0.0 Bohr magnetons per cell.


Arrangement Q

Material: Tb4Pm5Er
Method: DFT, GGA-PBE
State: relaxed

Lattice parameters (Å, degrees): 3.5972 10.4507 9.2778 84.04 101.18 90.00
Closest atoms and distances in Å follow each position.
Fractional coordinates of all 10 atoms:
Pm 0.1423 0.7692 0.2845  2 Tb 3.41-3.67, 2 Pm 3.60, 2 Er 3.80
Pm 0.8577 0.2308 0.7155  2 Tb 3.41-3.67, 2 Pm 3.60, 2 Er 3.80
Pm 0.5000 0.5000 0.0000  4 Tb 3.31, 2 Pm 3.60
Pm 0.1892 0.4038 0.3783  1 Tb 3.30, 4 Pm 3.60-3.62
Pm 0.8108 0.5962 0.6217  1 Tb 3.30, 4 Pm 3.60-3.62
Er 0.5000 0.0000 0.0000  6 Tb 3.24-3.54, 2 Er 3.60
Tb 0.9553 0.7622 0.9106  2 Er 3.24, 4 Pm 3.30-3.41, 4 Tb 3.34-3.60
Tb 0.6824 0.0877 0.3647  6 Tb 3.34-3.60, 1 Er 3.54, 1 Pm 3.67
Tb 0.3176 0.9123 0.6353  6 Tb 3.34-3.60, 1 Er 3.54, 1 Pm 3.67
Tb 0.0447 0.2378 0.0894  2 Er 3.24, 4 Pm 3.30-3.41, 4 Tb 3.34-3.60

As for the crystal system: monoclinic. The calculation puts the size of the total moment at 0.0 Bohr magnetons per cell.


Which structure wins on stability? arrangement P wins.


Arrangement P

Material: TbPm4Er6
Method: DFT, GGA-PBE
State: relaxed

Lattice parameters (Å, degrees): 3.5123 10.9324 10.9324 120.00 90.00 90.00
Closest atoms and distances in Å follow each position.
Fractional coordinates of all 11 atoms:
Pm 0.0000 0.3333 0.6667  3 Er 3.08
Pm 0.5000 0.3928 0.1964  6 Er 3.44-3.49, 2 Pm 3.51
Pm 0.5000 0.8036 0.1964  6 Er 3.44-3.49, 2 Pm 3.51
Pm 0.5000 0.8036 0.6072  6 Er 3.44-3.49, 2 Pm 3.51
Er 0.5000 0.1691 0.8309  4 Pm 3.49-3.57, 6 Er 3.51-3.56, 2 Tb 3.65
Er 0.0000 0.0076 0.5038  5 Pm 3.08-3.44
Er 0.5000 0.1691 0.3383  4 Pm 3.49-3.57, 6 Er 3.51-3.56, 2 Tb 3.65
Er 0.5000 0.6617 0.8309  4 Pm 3.49-3.57, 6 Er 3.51-3.56, 2 Tb 3.65
Er 0.0000 0.4962 0.5038  5 Pm 3.08-3.44
Er 0.0000 0.4962 0.9924  5 Pm 3.08-3.44
Tb 0.0000 0.0000 0.0000  2 Tb 3.51, 6 Er 3.65

As for the crystal system: hexagonal. The calculation puts the size of the total moment at 0.0 Bohr magnetons per cell.


Arrangement Q

Material: TbPm4Er6
Method: DFT, GGA-PBE
State: relaxed

Lattice parameters (Å, degrees): 9.6767 9.6767 9.6767 57.86 140.00 140.00
Closest atoms and distances in Å follow each position.
Fractional coordinates of all 11 atoms:
Pm 0.6214 0.9859 0.9859  5 Er 3.38-3.59, 1 Tb 3.46, 1 Pm 3.54
Pm 0.0000 0.6355 0.0141  5 Er 3.38-3.59, 1 Tb 3.46, 1 Pm 3.54
Pm 0.0000 0.0141 0.6355  5 Er 3.38-3.59, 1 Tb 3.46, 1 Pm 3.54
Pm 0.3786 0.3645 0.3645  5 Er 3.38-3.59, 1 Tb 3.46, 1 Pm 3.54
Er 0.6435 0.1961 0.1961  3 Er 3.23-3.34, 5 Pm 3.38-3.59
Er 0.3565 0.5527 0.5527  3 Er 3.23-3.34, 5 Pm 3.38-3.59
Er 0.0000 0.4473 0.8039  3 Er 3.23-3.34, 5 Pm 3.38-3.59
Er 0.0000 0.8039 0.4473  3 Er 3.23-3.34, 5 Pm 3.38-3.59
Er 0.5000 0.5000 0.0000  4 Er 3.23, 2 Tb 3.31
Er 0.5000 0.0000 0.5000  4 Er 3.23, 2 Tb 3.31
Tb 0.0000 0.0000 0.0000  8 Er 3.31-3.69, 4 Pm 3.46

As for the crystal system: tetragonal. The calculation puts the size of the total moment at 0.0 Bohr magnetons per cell.


Which structure wins on stability? arrangement P wins.